Compound: TaInCoPd
Source: Alexandria
Functional: GGA-PBE
Structure: relaxed

Formation enthalpy at 0 K   -0.118 eV/atom
E   -6.840 eV/atom
Total magnetization   1.10 μB per formula unit
V   64.0 Å³/cell

Cell lengths 4.491, 4.491, 4.491 Å; angles 60.00, 60.00, 60.00 degrees
Sites, in units of the cell vectors:
Ta 0.500 0.500 0.500
Pd 0.250 0.250 0.250
In 0.000 0.000 0.000
Co 0.750 0.750 0.750